Below is BaTh2SbO8 after structural relaxation, with properties calculated at the GGA-PBE level.

Cell: 5.150 5.170 7.625 Å, 89.99 89.98 89.19°
Sites, in units of the cell vectors:
Ba: 0.000 0.000 0.500
Th: 0.500 0.500 0.765
Th: 0.500 0.500 0.235
Sb: 0.000 0.000 0.000
O: 0.190 0.809 0.192
O: 0.716 0.718 0.000
O: 0.810 0.191 0.192
O: 0.810 0.191 0.808
O: 0.284 0.282 0.000
O: 0.190 0.809 0.808
O: 0.661 0.664 0.500
O: 0.339 0.336 0.500

Results
Energy relative to the elements, uncorrected: -2.63 eV/atom


Below is BaTiSbO6 after structural relaxation, with properties calculated at the GGA-PBE level.

Cell: 5.402 5.402 11.295 Å, 90.00 90.00 120.00°
Sites, in units of the cell vectors:
Ba: 0.000 0.000 0.000
Ba: 0.000 0.000 0.500
Ti: 0.667 0.333 0.250
Ti: 0.333 0.667 0.750
Sb: 0.333 0.667 0.250
Sb: 0.667 0.333 0.750
O: 0.608 0.605 0.152
O: 0.997 0.392 0.152
O: 0.392 0.997 0.652
O: 0.003 0.608 0.848
O: 0.395 0.392 0.348
O: 0.997 0.605 0.348
O: 0.605 0.997 0.848
O: 0.608 0.003 0.348
O: 0.003 0.395 0.652
O: 0.395 0.003 0.152
O: 0.605 0.608 0.652
O: 0.392 0.395 0.848

Results
Energy relative to the elements, uncorrected: -2.17 eV/atom


Below is BaTiSb2O8 after structural relaxation, with properties calculated at the GGA-PBE level.

Cell: 5.034 5.031 6.659 Å, 90.01 90.01 84.27°
Sites, in units of the cell vectors:
Ba: 0.000 0.000 0.500
Ti: 0.000 0.000 0.000
Sb: 0.500 0.500 0.762
Sb: 0.500 0.500 0.238
O: 0.209 0.791 0.196
O: 0.689 0.690 0.000
O: 0.791 0.209 0.196
O: 0.791 0.209 0.804
O: 0.311 0.310 0.000
O: 0.209 0.791 0.804
O: 0.660 0.661 0.500
O: 0.340 0.339 0.500

Results
Energy relative to the elements, uncorrected: -1.85 eV/atom


Below is Ba3TlSb2O9 after structural relaxation, with properties calculated at the GGA-PBE level.

Cell: 6.034 6.034 7.431 Å, 90.00 90.00 120.00°
Sites, in units of the cell vectors:
Ba: 0.333 0.667 0.663
Ba: 0.000 0.000 0.000
Ba: 0.667 0.333 0.337
Tl: 0.000 0.000 0.500
Sb: 0.333 0.667 0.163
Sb: 0.667 0.333 0.837
O: 0.825 0.175 0.684
O: 0.825 0.650 0.684
O: 0.350 0.175 0.684
O: 0.650 0.825 0.316
O: 0.175 0.350 0.316
O: 0.175 0.825 0.316
O: 0.500 0.000 0.000
O: 0.000 0.500 0.000
O: 0.500 0.500 0.000

Results
Energy relative to the elements, uncorrected: -1.94 eV/atom


Below is Ba2TlSb2O7 after structural relaxation, with properties calculated at the GGA-PBE level.

Cell: 3.977 3.977 13.359 Å, 90.00 90.00 90.00°
Sites, in units of the cell vectors:
Ba: 0.500 0.500 0.694
Ba: 0.500 0.500 0.306
Tl: 0.000 0.000 0.500
Sb: 0.000 0.000 0.887
Sb: 0.000 0.000 0.113
O: 0.500 0.500 0.500
O: 0.000 0.500 0.852
O: 0.500 0.000 0.852
O: 0.000 0.500 0.148
O: 0.500 0.000 0.148
O: 0.000 0.000 0.659
O: 0.000 0.000 0.341

Results
Energy relative to the elements, uncorrected: -1.56 eV/atom


Below is Ba3TlSb2O8 after structural relaxation, with properties calculated at the GGA-PBE level.

Cell: 6.281 6.281 8.467 Å, 90.00 90.00 120.00°
Sites, in units of the cell vectors:
Ba: 0.333 0.667 0.673
Ba: 0.667 0.333 0.327
Ba: 0.000 0.000 0.000
Tl: 0.000 0.000 0.500
Sb: 0.333 0.667 0.185
Sb: 0.667 0.333 0.815
O: 0.333 0.667 0.955
O: 0.667 0.333 0.045
O: 0.168 0.832 0.272
O: 0.832 0.168 0.728
O: 0.168 0.336 0.272
O: 0.832 0.664 0.728
O: 0.664 0.832 0.272
O: 0.336 0.168 0.728

Results
Energy relative to the elements, uncorrected: -1.78 eV/atom


Below is Ba2TlSbO after structural relaxation, with properties calculated at the GGA-PBE level.

Cell: 5.449 5.449 5.306 Å, 90.00 90.00 90.00°
Sites, in units of the cell vectors:
Sb: 0.500 0.500 0.500
Tl: 0.000 0.000 0.500
Ba: 0.000 0.500 0.000
Ba: 0.500 0.000 0.000
O: 0.000 0.000 0.000

Results
Energy relative to the elements, uncorrected: -1.27 eV/atom


Below is Ba4TlSb3O12 after structural relaxation, with properties calculated at the GGA-PBE level.

Cell: 7.439 7.439 7.439 Å, 109.47 109.47 109.47°
Sites, in units of the cell vectors:
Ba: 0.500 0.500 0.500
Ba: 0.000 0.000 0.500
Ba: 0.500 0.000 0.000
Ba: 0.000 0.500 0.000
Tl: 0.000 0.000 0.000
Sb: 0.500 0.000 0.500
Sb: 0.500 0.500 0.000
Sb: 0.000 0.500 0.500
O: 0.250 0.500 0.750
O: 0.726 0.000 0.726
O: 0.274 0.000 0.274
O: 0.750 0.500 0.250
O: 0.726 0.726 0.000
O: 0.274 0.274 0.000
O: 0.750 0.250 0.500
O: 0.250 0.750 0.500
O: 0.500 0.250 0.750
O: 0.000 0.726 0.726
O: 0.500 0.750 0.250
O: 0.000 0.274 0.274

Results
Energy relative to the elements, uncorrected: -1.96 eV/atom


| no. | raw total energy (eV/atom) |
| --- | --- |
| 1 | -7.679 |
| 2 | -7.029 |
| 3 | -6.656 |
| 4 | -6.003 |
| 5 | -5.655 |
| 6 | -5.784 |
| 7 | -4.332 |
| 8 | -6.055 |